# 1
A plane-wave DFT calculation with PBE-GGA was carried out for an optimized crystal structure of Pm2HgPtO6.

Properties
Symmetry: No. 146
Volume: 15.9 Å³/atom
Raw formation energy: -43.5 kcal/mol of atoms
Total DFT energy (no corrections): -6.444 eV per atom

```
Pm2HgPtO6
1.0
-5.264 1.108 2.142
-2.412 -3.655 3.788
-0.296 1.930 6.100
O Pm Pt Hg
6 2 1 1
Direct
0.285 0.960 0.192
0.385 0.705 0.755
0.705 0.155 0.755
0.563 0.285 0.192
0.155 0.385 0.755
0.960 0.563 0.192
0.529 0.529 0.412
0.001 0.001 0.996
0.336 0.336 0.993
0.742 0.742 0.773
```



# 2
A plane-wave DFT calculation with PBE-GGA was carried out for an optimized crystal structure of La9Dy2Sc.

Properties
Formation energy: 0.02 eV per atom
Symmetry: No. 123
Volume: 34.5 Å³/atom
Total DFT energy (no corrections): -4.974 eV per atom

```
La9Dy2Sc
1.0
-3.334 0.886 -3.846
2.655 -3.223 -3.043
-8.772 -11.834 4.880
La Sc Dy
9 1 2
Direct
0.500 0.000 0.500
0.500 0.500 0.332
0.000 0.500 0.500
0.500 0.500 0.668
0.000 0.500 0.163
0.000 0.500 0.837
0.500 0.000 0.163
0.500 0.000 0.837
0.500 0.500 0.000
0.000 0.000 0.000
0.000 0.000 0.669
0.000 0.000 0.331
```



# 3
A plane-wave DFT calculation with PBE-GGA was carried out for an optimized crystal structure of NpGa2Ir.

Properties
Formation energy: -0.20 eV per atom
Symmetry: No. 166
Volume: 19.4 Å³/atom
Total DFT energy (no corrections): -7.167 eV per atom

```
NpGa2Ir
1.0
4.230 0.000 0.000
2.115 3.663 0.000
2.115 1.221 5.000
Ir Ga Np
1 2 1
Direct
0.000 0.000 0.000
0.718 0.718 0.846
0.282 0.282 0.154
0.500 0.500 0.500
```



# 4
A plane-wave DFT calculation with PBE-GGA was carried out for an optimized crystal structure of CaMgGa6.

Properties
Formation energy: -0.19 eV per atom
Symmetry: No. 25
Volume: 20.3 Å³/atom
Total DFT energy (no corrections): -2.906 eV per atom

```
CaMgGa6
1.0
4.851 0.000 0.000
0.000 5.229 0.000
0.000 0.000 6.398
Ga Ca Mg
6 1 1
Direct
0.000 0.164 0.718
0.500 0.245 0.000
0.000 0.164 0.282
0.500 0.859 0.291
0.500 0.859 0.709
0.000 0.684 0.500
0.000 0.660 0.000
0.500 0.367 0.500
```



# 5
A plane-wave DFT calculation with PBE-GGA was carried out for an optimized crystal structure of TmTh2Mg.

Properties
Formation energy: 0.10 eV per atom
Symmetry: No. 160
Energy relative to the lowest polymorph listed for this composition: 89 meV per atom
Volume: 30.2 Å³/atom
Total DFT energy (no corrections): -5.130 eV per atom

```
TmTh2Mg
1.0
3.443 0.000 0.000
1.722 2.982 0.000
1.722 0.994 11.753
Mg Th Tm
1 2 1
Direct
0.500 0.500 0.499
0.084 0.084 0.748
0.249 0.249 0.252
0.666 0.666 0.001
```



# 6
A plane-wave DFT calculation with PBE-GGA was carried out for an optimized crystal structure of SmH6Pt4.

Properties
Symmetry: No. 1
Volume: 10.9 Å³/atom
Total DFT energy (no corrections): -4.702 eV per atom

```
SmH6Pt4
1.0
5.230 -0.361 5.382
-0.740 4.407 3.778
2.227 0.478 8.230
H Pt Sm
6 4 1
Direct
0.163 0.205 0.698
0.071 0.271 0.233
0.526 0.767 0.985
0.039 0.794 0.418
0.026 0.640 0.821
0.858 0.024 0.259
0.463 0.664 0.834
0.019 0.401 0.578
0.608 0.196 0.277
0.080 0.961 0.509
0.647 0.578 0.387
```



# 7
A plane-wave DFT calculation with PBE-GGA was carried out for an optimized crystal structure of HoBIr2.

Properties
Formation energy: 0.03 eV per atom
Symmetry: No. 191
Volume: 18.2 Å³/atom
Total DFT energy (no corrections): -7.216 eV per atom

```
HoBIr2
1.0
4.199 0.000 0.000
-2.100 3.637 0.000
0.000 0.000 4.758
Ir B Ho
2 1 1
Direct
0.667 0.333 0.000
0.333 0.667 0.000
0.000 0.000 0.000
0.000 0.000 0.500
```



# 8
A plane-wave DFT calculation with PBE-GGA was carried out for an optimized crystal structure of CrHgIr2.

Properties
Formation energy: 0.30 eV per atom
Symmetry: No. 25
Volume: 15.8 Å³/atom
Total DFT energy (no corrections): -6.610 eV per atom

```
CrHgIr2
1.0
-2.914 -1.083 -2.263
1.777 -0.229 -2.179
2.772 -5.817 -0.785
Cr Ir Hg
1 2 1
Direct
0.000 0.535 0.464
0.000 0.975 0.025
0.500 0.238 0.262
0.500 0.752 0.749
```



Q: Number 5 is which compound?
A: TmTh2Mg



Copy entry 4 word for word.
A plane-wave DFT calculation with PBE-GGA was carried out for an optimized crystal structure of CaMgGa6.

Properties
Formation energy: -0.19 eV per atom
Symmetry: No. 25
Volume: 20.3 Å³/atom
Total DFT energy (no corrections): -2.906 eV per atom

```
CaMgGa6
1.0
4.851 0.000 0.000
0.000 5.229 0.000
0.000 0.000 6.398
Ga Ca Mg
6 1 1
Direct
0.000 0.164 0.718
0.500 0.245 0.000
0.000 0.164 0.282
0.500 0.859 0.291
0.500 0.859 0.709
0.000 0.684 0.500
0.000 0.660 0.000
0.500 0.367 0.500
```



Q: Among the records above, which one has the highest total DFT energy (no corrections)?
A: CaMgGa6